DFT (PBE) results for an optimized crystal structure of Ac2PrCd5.

```
Ac2PrCd5
1.0
-2.713 2.713 7.981
2.713 -2.713 7.981
2.713 2.713 -7.981
Ac Pr Cd
2 1 5
Direct
0.235 0.235 0.000
0.765 0.765 0.000
0.500 0.500 0.000
0.000 0.000 0.000
0.110 0.610 0.500
0.390 0.890 0.500
0.610 0.110 0.500
0.890 0.390 0.500
```

ΔE_f: -27 kJ/mol of atoms
space-group type: No. 139

---

DFT (PBE) results for an optimized crystal structure of Ac2PrCd.

```
Ac2PrCd
1.0
1.961 1.132 11.591
-1.961 1.132 11.591
0.000 -2.264 11.591
Ac Pr Cd
2 1 1
Direct
0.000 0.000 0.000
0.180 0.180 0.180
0.422 0.422 0.422
0.590 0.590 0.590
```

ΔE_f: -3 kJ/mol of atoms
E above lowest polymorph: 104.8 meV/atom
space-group type: No. 160

---

DFT (PBE) results for an optimized crystal structure of AcPr12Cd6.

```
AcPr12Cd6
1.0
5.900 3.407 5.049
-5.900 3.407 5.049
0.000 -6.813 5.049
Ac Pr Cd
1 12 6
Direct
0.000 0.000 0.000
0.047 0.391 0.156
0.156 0.047 0.391
0.191 0.574 0.470
0.391 0.156 0.047
0.426 0.530 0.809
0.470 0.191 0.574
0.530 0.809 0.426
0.574 0.470 0.191
0.609 0.844 0.953
0.809 0.426 0.530
0.844 0.953 0.609
0.953 0.609 0.844
0.118 0.268 0.732
0.268 0.732 0.118
0.268 0.882 0.732
0.732 0.118 0.268
0.732 0.268 0.882
0.882 0.732 0.268
```

ΔE_f: -9 kJ/mol of atoms
space-group type: No. 148

---

DFT (PBE) results for an optimized crystal structure of AcPr3Cd4.

```
AcPr3Cd4
1.0
11.088 0.000 0.000
0.000 7.916 0.000
0.000 0.000 5.543
Ac Pr Cd
2 6 8
Direct
0.000 0.000 0.000
0.500 0.000 0.000
0.000 0.500 0.000
0.250 0.000 0.497
0.250 0.500 0.497
0.500 0.500 0.000
0.750 0.000 0.503
0.750 0.500 0.503
0.000 0.261 0.500
0.000 0.739 0.500
0.250 0.260 0.997
0.250 0.740 0.997
0.500 0.261 0.500
0.500 0.739 0.500
0.750 0.260 0.003
0.750 0.740 0.003
```

ΔE_f: -29 kJ/mol of atoms
space-group type: No. 51

---

DFT (PBE) results for an optimized crystal structure of Ac2Pr6Cd.

```
Ac2Pr6Cd
1.0
-1.901 5.507 8.022
1.901 -5.507 8.022
1.901 5.507 -8.022
Ac Pr Cd
2 6 1
Direct
0.136 0.136 0.000
0.864 0.864 0.000
0.162 0.818 0.344
0.242 0.500 0.742
0.474 0.818 0.656
0.526 0.182 0.344
0.758 0.500 0.258
0.838 0.182 0.656
0.500 0.000 0.500
```

ΔE_f: 3 kJ/mol of atoms
space-group type: No. 71

---

DFT (PBE) results for an optimized crystal structure of AcPr4Cd.

```
AcPr4Cd
1.0
3.812 0.000 0.000
0.000 3.812 0.000
0.000 0.000 14.613
Ac Pr Cd
1 4 1
Direct
0.000 0.000 0.000
0.000 0.000 0.362
0.000 0.000 0.638
0.500 0.500 0.188
0.500 0.500 0.812
0.500 0.500 0.500
```

ΔE_f: -9 kJ/mol of atoms
E above lowest polymorph: 0.0 meV/atom
space-group type: No. 123

---

DFT (PBE) results for an optimized crystal structure of Ac14PrCd.

```
Ac14PrCd
1.0
11.155 0.000 0.000
0.000 5.539 5.541
0.000 -5.539 5.541
Ac Pr Cd
14 1 1
Direct
0.000 0.000 0.000
0.000 0.001 0.498
0.000 0.498 0.001
0.000 0.499 0.499
0.255 0.751 0.751
0.257 0.248 0.751
0.257 0.751 0.248
0.260 0.248 0.248
0.500 0.504 0.997
0.500 0.997 0.504
0.740 0.248 0.248
0.743 0.248 0.751
0.743 0.751 0.248
0.745 0.751 0.751
0.500 0.500 0.500
0.500 0.999 0.999
```

ΔE_f: 0 kJ/mol of atoms
space-group type: No. 38

---

DFT (PBE) results for an optimized crystal structure of AcPr2Cd.

```
AcPr2Cd
1.0
5.103 0.000 0.000
0.000 5.103 0.000
0.000 0.000 5.213
Ac Pr Cd
1 2 1
Direct
0.000 0.000 0.000
0.000 0.500 0.500
0.500 0.000 0.500
0.500 0.500 0.000
```

ΔE_f: -8 kJ/mol of atoms
E above lowest polymorph: 74.7 meV/atom
space-group type: No. 123

---

DFT (PBE) results for an optimized crystal structure of AcPr2Cd.

```
AcPr2Cd
1.0
1.917 1.107 11.333
-1.917 1.107 11.333
0.000 -2.213 11.333
Ac Pr Cd
1 2 1
Direct
0.000 0.000 0.000
0.240 0.240 0.240
0.426 0.426 0.426
0.833 0.833 0.833
```

ΔE_f: -4 kJ/mol of atoms
E above lowest polymorph: 112.9 meV/atom
space-group type: No. 160

---

DFT (PBE) results for an optimized crystal structure of Ac3PrCd8.

```
Ac3PrCd8
1.0
6.268 0.000 0.000
-3.134 5.428 0.000
0.000 0.000 9.794
Ac Pr Cd
3 1 8
Direct
0.000 0.000 0.000
0.000 0.000 0.387
0.333 0.667 0.873
0.333 0.667 0.497
0.008 0.504 0.193
0.332 0.166 0.688
0.496 0.504 0.193
0.496 0.992 0.193
0.667 0.333 0.440
0.667 0.333 0.943
0.834 0.166 0.688
0.834 0.668 0.688
```

ΔE_f: -28 kJ/mol of atoms
E above lowest polymorph: 12.1 meV/atom
space-group type: No. 156

---

DFT (PBE) results for an optimized crystal structure of AcPrCd17.

```
AcPrCd17
1.0
5.093 2.941 5.018
-5.093 2.941 5.018
0.000 -5.881 5.018
Ac Pr Cd
1 1 17
Direct
0.000 0.000 0.000
0.665 0.665 0.665
0.035 0.337 0.631
0.035 0.631 0.337
0.191 0.686 0.686
0.239 0.239 0.239
0.325 0.325 0.845
0.325 0.845 0.325
0.337 0.035 0.631
0.337 0.631 0.035
0.438 0.438 0.438
0.514 0.969 0.969
0.631 0.035 0.337
0.631 0.337 0.035
0.686 0.191 0.686
0.686 0.686 0.191
0.845 0.325 0.325
0.969 0.514 0.969
0.969 0.969 0.514
```

ΔE_f: -17 kJ/mol of atoms
space-group type: No. 160

---

DFT (PBE) results for an optimized crystal structure of Ac3Pr3Cd2.

```
Ac3Pr3Cd2
1.0
2.715 -6.272 0.000
2.715 6.272 0.000
0.000 0.000 17.194
Ac Pr Cd
6 6 4
Direct
0.044 0.956 0.611
0.044 0.956 0.889
0.304 0.696 0.750
0.696 0.304 0.250
0.956 0.044 0.111
0.956 0.044 0.389
0.361 0.639 0.533
0.361 0.639 0.967
0.422 0.578 0.250
0.578 0.422 0.750
0.639 0.361 0.033
0.639 0.361 0.467
0.232 0.768 0.125
0.232 0.768 0.375
0.768 0.232 0.625
0.768 0.232 0.875
```

ΔE_f: -6 kJ/mol of atoms
space-group type: No. 63

---

Question: ΔE_f of number 3 (AcPr12Cd6)?
Answer: -9 kJ/mol of atoms

---

Please write out number 4 again, unchanged.
DFT (PBE) results for an optimized crystal structure of AcPr3Cd4.

```
AcPr3Cd4
1.0
11.088 0.000 0.000
0.000 7.916 0.000
0.000 0.000 5.543
Ac Pr Cd
2 6 8
Direct
0.000 0.000 0.000
0.500 0.000 0.000
0.000 0.500 0.000
0.250 0.000 0.497
0.250 0.500 0.497
0.500 0.500 0.000
0.750 0.000 0.503
0.750 0.500 0.503
0.000 0.261 0.500
0.000 0.739 0.500
0.250 0.260 0.997
0.250 0.740 0.997
0.500 0.261 0.500
0.500 0.739 0.500
0.750 0.260 0.003
0.750 0.740 0.003
```

ΔE_f: -29 kJ/mol of atoms
space-group type: No. 51